## ScFeAgSn (PBE)

Data for crystalline ScFeAgSn at its relaxed geometry.

Cell: 6.5812 6.5812 6.5812 Å, 90.00 90.00 90.00°
Closest atoms and distances in Å follow each position.
Space group F-43m (No. 216)
Unique sites:
Sc 0.0000 0.0000 0.0000 [4 per cell]  4 Ag 2.85, 4 Fe 2.85
Fe 0.2500 0.2500 0.7500 [4 per cell]  4 Sn 2.85, 4 Sc 2.85
Ag 0.2500 0.2500 0.2500 [4 per cell]  4 Sn 2.85, 4 Sc 2.85
Sn 0.0000 0.0000 0.5000 [4 per cell]  4 Fe 2.85, 4 Ag 2.85

Calculated values
The calculated volume comes out at 285.1 Å³/cell. The value obtained for the total energy is -5.486 eV/atom. As for the size of the total moment: 6.7 Bohr magnetons per cell.